Record 1
! MnSnRh PBE optimized geometry; values from VASP
&SYSTEM
  ibrav = 0, nat = 3, ntyp = 3
/
ATOMIC_SPECIES
Sn 118.71 Sn.upf
Mn 54.94 Mn.upf
Rh 102.91 Rh.upf
CELL_PARAMETERS angstrom
4.344 0.000 0.000
2.172 3.762 0.000
2.172 1.254 3.547
ATOMIC_POSITIONS angstrom
Sn 4.344 2.508 1.773
Mn 0.000 0.000 0.000
Rh 2.172 1.254 0.887
! * space group: F-43m, No. 216
! * DFT formation energy: -3.3 kcal/mol of atoms



Record 2
! NbCrSbI2 PBE optimized geometry; values from VASP
&SYSTEM
  ibrav = 0, nat = 5, ntyp = 4
/
ATOMIC_SPECIES
I 126.90 I.upf
Cr 52.00 Cr.upf
Sb 121.76 Sb.upf
Nb 92.91 Nb.upf
CELL_PARAMETERS angstrom
5.323 0.000 0.000
0.000 5.323 0.000
0.000 0.000 5.035
ATOMIC_POSITIONS angstrom
I 2.661 0.000 0.000
I 0.000 2.661 0.000
Cr 0.000 0.000 0.000
Sb 0.000 0.000 2.517
Nb 2.661 2.661 2.517
! * space group: P4/mmm, No. 123
! * energy above the lowest structure with this stoichiometry: 444 meV per atom
! * uncorrected formation energy: 1.135 eV/atom



Number 1: E -6.983 eV/atom, DOS(E_F) 2.9 states/eV/f.u.. Number 2: E -4.249 eV/atom, DOS(E_F) 5.3 states/eV/f.u..